1.
Compound: InSb2TeSe
Source: the Alexandria database
Functional: PBE
Structure: optimized geometry

POSCAR file:
```
InSb2TeSe
1.0
5.6451 0.0000 0.0000
0.0000 5.6451 0.0000
0.0000 0.0000 5.5075
In Sb Te Se
1 2 1 1
Direct
0.0000 0.0000 0.0000 In
0.0000 0.5000 0.0000 Sb
0.5000 0.0000 0.0000 Sb
0.0000 0.0000 0.5000 Te
0.5000 0.5000 0.5000 Se
```

magnetization	0.000	μB/f.u.
calculated volume	35.101	Å³/atom

2.
Compound: InSb2TeSe
Source: the Alexandria database
Functional: PBE
Structure: optimized geometry

POSCAR file:
```
InSb2TeSe
1.0
5.4844 0.0000 0.0000
0.0000 5.4844 0.0000
0.0000 0.0000 5.5398
In Sb Te Se
1 2 1 1
Direct
0.0000 0.0000 0.0000 In
0.0000 0.5000 0.5000 Sb
0.5000 0.0000 0.5000 Sb
0.5000 0.5000 0.0000 Te
0.5000 0.5000 0.5000 Se
```

magnetization	0.002	μB/f.u.
calculated volume	33.326	Å³/atom

3.
Compound: In4Sb2TeSe
Source: the Alexandria database
Functional: PBE
Structure: optimized geometry

POSCAR file:
```
In4Sb2TeSe
1.0
0.0000 4.8437 6.4524
4.8358 0.0000 6.4524
4.8358 4.8437 0.0000
In Sb Te Se
4 2 1 1
Direct
0.0088 0.4876 0.9912 In
0.2392 0.7608 0.2392 In
0.4876 0.0088 0.5124 In
0.7608 0.2392 0.7608 In
0.3739 0.3739 0.1261 Sb
0.8739 0.8739 0.6261 Sb
0.6236 0.6236 0.3764 Te
0.1240 0.1240 0.8760 Se
```

magnetization	0.000	μB/f.u.
calculated volume	37.784	Å³/atom

4.
Compound: InSbTeSe2
Source: the Alexandria database
Functional: PBE
Structure: optimized geometry

POSCAR file:
```
InSbTeSe2
1.0
6.9275 0.0000 0.0000
0.0000 5.6658 0.0000
-0.8353 0.0000 8.2906
In Sb Te Se
2 2 2 4
Direct
0.1113 0.2500 0.3620 In
0.8887 0.7500 0.6380 In
0.2281 0.2500 0.9215 Sb
0.7719 0.7500 0.0785 Sb
0.4698 0.2500 0.2300 Te
0.5302 0.7500 0.7700 Te
0.0798 0.7500 0.3839 Se
0.1127 0.7500 0.9341 Se
0.8873 0.2500 0.0659 Se
0.9202 0.2500 0.6161 Se
```

magnetization	0.000	μB/f.u.
calculated volume	32.540	Å³/atom

5.
Compound: InSbTe2Se
Source: the Alexandria database
Functional: PBE
Structure: optimized geometry

POSCAR file:
```
InSbTe2Se
1.0
5.5782 0.0000 0.0000
0.0000 5.5782 0.0000
0.0000 0.0000 5.7076
In Sb Te Se
1 1 2 1
Direct
0.0000 0.0000 0.0000 In
0.0000 0.0000 0.5000 Sb
0.0000 0.5000 0.0000 Te
0.5000 0.0000 0.0000 Te
0.5000 0.5000 0.5000 Se
```

magnetization	0.001	μB/f.u.
calculated volume	35.520	Å³/atom

6.
Compound: InSbTe2Se
Source: the Alexandria database
Functional: PBE
Structure: optimized geometry

POSCAR file:
```
InSbTe2Se
1.0
5.5494 0.0000 0.0000
0.0000 5.5494 0.0000
0.0000 0.0000 5.4971
In Sb Te Se
1 1 2 1
Direct
0.0000 0.0000 0.0000 In
0.5000 0.5000 0.0000 Sb
0.0000 0.5000 0.5000 Te
0.5000 0.0000 0.5000 Te
0.5000 0.5000 0.5000 Se
```

magnetization	0.554	μB/f.u.
calculated volume	33.857	Å³/atom

7.
Compound: InSbTeSe
Source: the Alexandria database
Functional: PBE
Structure: optimized geometry

POSCAR file:
```
InSbTeSe
1.0
3.4330 -1.9812 0.0000
3.4330 1.9812 0.0000
-2.2469 0.0000 9.0692
In Sb Te Se
1 1 1 1
Direct
0.0000 0.0000 0.0000 In
0.7555 0.7555 0.2714 Sb
0.1584 0.1584 0.4843 Te
0.6153 0.6153 0.8426 Se
```

magnetization	0.000	μB/f.u.
calculated volume	30.842	Å³/atom

8.
Compound: Tl3InSb3Se8
Source: the Alexandria database
Functional: PBE
Structure: optimized geometry

POSCAR file:
```
Tl3InSb3Se8
1.0
4.1141 2.3753 7.6249
-4.1141 2.3753 7.6249
0.0000 -4.7506 7.6249
Tl In Sb Se
3 1 3 8
Direct
0.0000 0.5000 0.5000 Tl
0.5000 0.0000 0.5000 Tl
0.5000 0.5000 0.0000 Tl
0.5000 0.5000 0.5000 In
0.0000 0.0000 0.5000 Sb
0.0000 0.5000 0.0000 Sb
0.5000 0.0000 0.0000 Sb
0.2390 0.2390 0.2390 Se
0.2429 0.7334 0.7334 Se
0.2666 0.2666 0.7571 Se
0.2666 0.7571 0.2666 Se
0.7334 0.2429 0.7334 Se
0.7334 0.7334 0.2429 Se
0.7571 0.2666 0.2666 Se
0.7610 0.7610 0.7610 Se
```

magnetization	0.000	μB/f.u.
calculated volume	29.806	Å³/atom

no.,formation energy (no corrections) (eV per atom),energy (eV per cell)
1,0.83,-13.4
2,0.46,-15.3
3,-0.15,-27.0
4,-0.24,-36.3
5,0.77,-12.8
6,0.36,-14.8
7,-0.14,-14.1
8,-0.35,-55.4